This record from the Alexandria database describes PrSm2OsO8 after structural relaxation. The functional is PBE.

## Properties
Formation energy without anion corrections (meV/atom): -2431
Symmetry: No. 65

a = 5.1691 Å, b = 5.1696 Å, c = 7.0047 Å
α = 90.00°, β = 90.00°, γ = 89.51°
Fractional positions:
O1 0.8180 0.1823 0.2015
O2 0.1820 0.8177 0.7985
O3 0.6858 0.6867 0.5000
O4 0.7448 0.7453 0.0000
O5 0.1820 0.8177 0.2014
O6 0.8180 0.1823 0.7986
O7 0.3142 0.3133 0.5000
O8 0.2552 0.2547 0.0000
Os1 0.0000 0.0000 0.0000
Sm1 0.5000 0.5000 0.2504
Sm2 0.5000 0.5000 0.7496
Pr1 0.0000 0.0000 0.5000